Ba3Li8Mg3 | PBE-GGA | optimized geometry

Summary:
energy of formation = 7 meV per atom
magnetization = 0.000 μB per cell
ρ = 2.09 g cm⁻³

```
data_Ba3Li8Mg3
_chemical_formula_sum 'Ba3 Li8 Mg3'
_space_group_name_H-M_alt 'P 1'
_space_group_IT_number 1
_space_group_name_Hall 'P 1'
_cell_length_a 9.7265
_cell_length_b 9.7265
_cell_length_c 9.7265
_cell_angle_alpha 149.56
_cell_angle_beta 110.55
_cell_angle_gamma 77.69
loop_
_atom_site_label
_atom_site_fract_x
_atom_site_fract_y
_atom_site_fract_z
Ba1 0.0000 0.0000 0.0000
Ba2 0.3072 0.3072 0.0000
Ba3 0.6928 0.6928 0.0000
Li1 0.0182 0.6813 0.3369
Li2 0.1648 0.8838 0.2810
Li3 0.3444 0.6813 0.6631
Li4 0.3972 0.1162 0.2810
Li5 0.6028 0.8838 0.7190
Li6 0.6556 0.3187 0.3369
Li7 0.8352 0.1162 0.7190
Li8 0.9818 0.3187 0.6631
Mg1 0.2898 0.5000 0.7898
Mg2 0.5000 0.0000 0.5000
Mg3 0.7102 0.5000 0.2102
```